1.
! La2RhCl (PBE-GGA, relaxed); values from VASP
! Relative energy among the computed polymorphs: 118 meV/atom
! Formation energy (no corrections): -1.168 eV per atom
&SYSTEM
  ibrav = 0, nat = 4, ntyp = 3
/
ATOMIC_SPECIES
Cl 35.45 Cl.upf
La 138.91 La.upf
Rh 102.91 Rh.upf
ATOMIC_POSITIONS crystal
Cl 0.500 0.500 0.875
La 0.000 0.000 0.875
La 0.500 0.500 0.375
Rh 0.000 0.000 0.375
CELL_PARAMETERS angstrom
-1.503 3.243 2.172
-2.509 -2.586 2.124
4.268 -0.770 4.102



2.
! Co2RhCl (PBE-GGA, relaxed); values from VASP
! Relative energy among the computed polymorphs: 105 meV/atom
! Formation energy (no corrections): 0.329 eV per atom
&SYSTEM
  ibrav = 0, nat = 4, ntyp = 3
/
ATOMIC_SPECIES
Co 58.93 Co.upf
Rh 102.91 Rh.upf
Cl 35.45 Cl.upf
ATOMIC_POSITIONS crystal
Co 0.000 0.000 0.000
Co 0.255 0.255 0.255
Rh 0.508 0.508 0.508
Cl 0.737 0.737 0.737
CELL_PARAMETERS angstrom
8.297 0.010 0.006
7.814 2.791 0.006
7.814 1.359 2.439



3.
! Dy2CoGe2 (PBE-GGA, relaxed); values from VASP
! E_form: -0.754 eV/atom
&SYSTEM
  ibrav = 0, nat = 10, ntyp = 3
/
ATOMIC_SPECIES
Ge 72.64 Ge.upf
Co 58.93 Co.upf
Dy 162.50 Dy.upf
ATOMIC_POSITIONS crystal
Ge 0.341 0.756 0.561
Ge 0.486 0.151 0.878
Ge 0.659 0.244 0.439
Ge 0.514 0.849 0.122
Co 0.724 0.894 0.656
Co 0.276 0.106 0.344
Dy 0.994 0.679 0.333
Dy 0.189 0.738 0.884
Dy 0.006 0.321 0.667
Dy 0.811 0.262 0.116
CELL_PARAMETERS angstrom
-1.985 -2.285 -2.902
3.517 -1.847 -3.987
0.998 -8.696 3.143



4.
! Pa5Hg3O16 (PBE-GGA, relaxed); values from VASP
! Formation energy (no corrections): -2.511 eV per atom
&SYSTEM
  ibrav = 0, nat = 24, ntyp = 3
/
ATOMIC_SPECIES
Pa 231.04 Pa.upf
Hg 200.59 Hg.upf
O 16.00 O.upf
ATOMIC_POSITIONS crystal
Pa 0.335 0.839 0.784
Pa 0.681 0.681 0.500
Pa 0.839 0.335 0.784
Pa 0.162 0.162 0.286
Pa 0.333 0.333 0.008
Hg 0.829 0.829 0.927
Hg 0.168 0.663 0.294
Hg 0.663 0.168 0.294
O 0.379 0.853 0.391
O 0.537 0.537 0.667
O 0.650 0.650 0.890
O 0.023 0.023 0.698
O 0.999 0.999 0.200
O 0.853 0.379 0.391
O 0.501 0.928 0.646
O 0.928 0.501 0.646
O 0.175 0.175 0.875
O 0.840 0.840 0.401
O 0.056 0.421 0.130
O 0.421 0.056 0.130
O 0.320 0.320 0.379
O 0.191 0.663 0.905
O 0.455 0.455 0.156
O 0.663 0.191 0.905
CELL_PARAMETERS angstrom
-2.979 -5.008 -3.879
3.984 -5.043 -2.774
-1.340 -5.989 8.253



5.
! Y2TiC (PBE-GGA, relaxed); values from VASP
! E_form: 0.023 eV/atom
&SYSTEM
  ibrav = 0, nat = 8, ntyp = 3
/
ATOMIC_SPECIES
Y 88.91 Y.upf
C 12.01 C.upf
Ti 47.87 Ti.upf
ATOMIC_POSITIONS crystal
Y 0.468 0.125 0.250
Y 0.282 0.625 0.250
Y 0.375 0.532 0.750
Y 0.875 0.718 0.750
C 0.500 0.500 0.000
C 0.250 0.750 0.500
Ti 0.000 0.000 0.000
Ti 0.750 0.250 0.500
CELL_PARAMETERS angstrom
9.333 0.000 0.000
0.000 9.333 0.000
4.666 4.666 2.064



6.
! Dy2MgZn12Ni3 (PBE-GGA, relaxed); values from VASP
! E_form: 0.198 eV/atom
&SYSTEM
  ibrav = 0, nat = 18, ntyp = 4
/
ATOMIC_SPECIES
Dy 162.50 Dy.upf
Mg 24.30 Mg.upf
Zn 65.41 Zn.upf
Ni 58.69 Ni.upf
ATOMIC_POSITIONS crystal
Dy 0.594 0.594 0.594
Dy 0.406 0.406 0.406
Mg 0.000 0.000 0.000
Zn 0.292 0.292 0.844
Zn 0.851 0.851 0.392
Zn 0.392 0.851 0.851
Zn 0.844 0.292 0.292
Zn 0.851 0.392 0.851
Zn 0.292 0.844 0.292
Zn 0.708 0.708 0.156
Zn 0.149 0.149 0.608
Zn 0.608 0.149 0.149
Zn 0.156 0.708 0.708
Zn 0.149 0.608 0.149
Zn 0.708 0.156 0.708
Ni 0.500 0.000 0.000
Ni 0.000 0.500 0.000
Ni 0.000 0.000 0.500
CELL_PARAMETERS angstrom
7.527 -0.576 -0.408
3.217 6.830 -0.408
3.217 1.872 6.581



7.
! TmAlNi (PBE-GGA, relaxed); values from VASP
! E_form: -0.547 eV/atom
&SYSTEM
  ibrav = 0, nat = 12, ntyp = 3
/
ATOMIC_SPECIES
Tm 168.93 Tm.upf
Al 26.98 Al.upf
Ni 58.69 Ni.upf
ATOMIC_POSITIONS crystal
Tm 0.333 0.667 0.205
Tm 0.670 0.330 0.323
Tm 0.670 0.330 0.677
Tm 0.333 0.667 0.795
Al 0.996 0.004 0.262
Al 0.996 0.004 0.738
Al 0.832 0.658 0.000
Al 0.342 0.168 0.000
Ni 0.833 0.167 0.000
Ni 0.170 0.340 0.500
Ni 0.660 0.830 0.500
Ni 0.166 0.834 0.500
CELL_PARAMETERS angstrom
-3.815 -2.459 2.740
4.910 0.234 1.989
-1.900 7.228 3.842



8.
! Al2BPt8 (PBE-GGA, relaxed); values from VASP
! E_form: -0.492 eV/atom
&SYSTEM
  ibrav = 0, nat = 11, ntyp = 3
/
ATOMIC_SPECIES
Al 26.98 Al.upf
B 10.81 B.upf
Pt 195.08 Pt.upf
ATOMIC_POSITIONS crystal
Al 0.824 0.288 0.648
Al 0.176 0.712 0.352
B 0.500 0.000 0.000
Pt 0.396 0.614 0.791
Pt 0.637 0.933 0.275
Pt 0.785 0.716 0.571
Pt 0.985 0.237 0.969
Pt 0.215 0.284 0.429
Pt 0.363 0.067 0.725
Pt 0.604 0.386 0.209
Pt 0.015 0.763 0.031
CELL_PARAMETERS angstrom
-1.087 2.484 3.110
3.585 -2.459 3.217
3.904 4.785 -5.193



9.
! Rb2MgGa4Sn3 (PBE-GGA, relaxed); values from VASP
! E_form: -0.136 eV/atom
&SYSTEM
  ibrav = 0, nat = 10, ntyp = 4
/
ATOMIC_SPECIES
Rb 85.47 Rb.upf
Mg 24.30 Mg.upf
Ga 69.72 Ga.upf
Sn 118.71 Sn.upf
ATOMIC_POSITIONS crystal
Rb 0.500 0.000 0.243
Rb 0.000 0.500 0.757
Mg 0.500 0.500 0.500
Ga 0.500 0.500 0.000
Ga 0.000 0.000 0.000
Ga 0.500 0.000 0.632
Ga 0.000 0.500 0.368
Sn 0.000 0.000 0.500
Sn 0.500 0.000 0.872
Sn 0.000 0.500 0.128
CELL_PARAMETERS angstrom
-0.970 4.753 0.673
-4.067 -1.178 2.460
6.083 -0.170 9.975



10.
! Ti6Ga5Pt (PBE-GGA, relaxed); values from VASP
! E_form: -0.551 eV/atom
&SYSTEM
  ibrav = 0, nat = 12, ntyp = 3
/
ATOMIC_SPECIES
Ti 47.87 Ti.upf
Ga 69.72 Ga.upf
Pt 195.08 Pt.upf
ATOMIC_POSITIONS crystal
Ti 0.747 0.085 0.335
Ti 0.253 0.580 0.335
Ti 0.246 0.254 0.000
Ti 0.754 0.746 0.000
Ti 0.747 0.420 0.665
Ti 0.253 0.915 0.665
Ga 0.500 0.161 0.679
Ga 0.000 0.333 0.335
Ga 0.500 0.500 0.000
Ga 0.000 0.667 0.665
Ga 0.500 0.839 0.321
Pt 0.000 0.000 0.000
CELL_PARAMETERS angstrom
-1.772 3.345 1.132
-7.123 -0.870 5.215
-0.041 -0.210 7.454



11.
! Ba2ScGe2 (PBE-GGA, relaxed); values from VASP
! E_form: -0.415 eV/atom
! Relative energy among the computed polymorphs: 0 meV/atom
&SYSTEM
  ibrav = 0, nat = 10, ntyp = 3
/
ATOMIC_SPECIES
Sc 44.96 Sc.upf
Ge 72.64 Ge.upf
Ba 137.33 Ba.upf
ATOMIC_POSITIONS crystal
Sc 0.000 0.000 0.000
Sc 0.500 0.500 0.000
Ge 0.376 0.876 0.000
Ge 0.876 0.624 0.000
Ge 0.624 0.124 0.000
Ge 0.124 0.376 0.000
Ba 0.171 0.671 0.500
Ba 0.671 0.829 0.500
Ba 0.829 0.329 0.500
Ba 0.329 0.171 0.500
CELL_PARAMETERS angstrom
-7.453 -1.717 0.704
1.080 -6.383 -4.133
1.033 -2.678 4.405



12.
! DyMgCuPd (PBE-GGA, relaxed); values from VASP
! E_form: -0.499 eV/atom
&SYSTEM
  ibrav = 0, nat = 4, ntyp = 4
/
ATOMIC_SPECIES
Mg 24.30 Mg.upf
Cu 63.55 Cu.upf
Pd 106.42 Pd.upf
Dy 162.50 Dy.upf
ATOMIC_POSITIONS crystal
Mg 0.500 0.500 0.500
Cu 0.250 0.250 0.250
Pd 0.750 0.750 0.750
Dy 0.000 0.000 0.000
CELL_PARAMETERS angstrom
-3.236 2.822 2.030
-4.442 0.107 -1.676
-3.542 -1.890 2.537



13.
! BaLaMg2 (PBE-GGA, relaxed); values from VASP
! E_form: -0.024 eV/atom
&SYSTEM
  ibrav = 0, nat = 4, ntyp = 3
/
ATOMIC_SPECIES
Mg 24.30 Mg.upf
Ba 137.33 Ba.upf
La 138.91 La.upf
ATOMIC_POSITIONS crystal
Mg 0.000 0.126 0.900
Mg 0.500 0.125 0.347
Ba 0.000 0.624 0.395
La 0.500 0.625 0.858
CELL_PARAMETERS angstrom
5.907 0.000 0.000
0.000 4.038 -0.009
0.000 0.013 5.939



14.
! TbCeMgRh (PBE-GGA, relaxed); values from VASP
! E_form: -0.283 eV/atom
&SYSTEM
  ibrav = 0, nat = 4, ntyp = 4
/
ATOMIC_SPECIES
Rh 102.91 Rh.upf
Mg 24.30 Mg.upf
Tb 158.93 Tb.upf
Ce 140.12 Ce.upf
ATOMIC_POSITIONS crystal
Rh 0.500 0.500 0.500
Mg 0.000 0.000 0.000
Tb 0.750 0.750 0.750
Ce 0.250 0.250 0.250
CELL_PARAMETERS angstrom
-0.342 3.729 3.466
1.630 -0.793 4.770
4.224 2.324 1.672



15.
! Sr2SbPdN (PBE-GGA, relaxed); values from VASP
! Formation energy (no corrections): -0.611 eV per atom
&SYSTEM
  ibrav = 0, nat = 5, ntyp = 4
/
ATOMIC_SPECIES
Sb 121.76 Sb.upf
N 14.01 N.upf
Pd 106.42 Pd.upf
Sr 87.62 Sr.upf
ATOMIC_POSITIONS crystal
Sb 0.500 0.500 0.500
N 0.000 0.000 0.000
Pd 0.000 0.000 0.500
Sr 0.000 0.500 0.000
Sr 0.500 0.000 0.000
CELL_PARAMETERS angstrom
5.628 0.000 0.000
0.000 5.628 0.000
0.000 0.000 3.892



16.
! TiCrSn3 (PBE-GGA, relaxed); values from VASP
! E_form: 0.597 eV/atom
! Relative energy among the computed polymorphs: 0 meV/atom
&SYSTEM
  ibrav = 0, nat = 5, ntyp = 3
/
ATOMIC_SPECIES
Cr 52.00 Cr.upf
Sn 118.71 Sn.upf
Ti 47.87 Ti.upf
ATOMIC_POSITIONS crystal
Cr 0.500 0.500 0.500
Sn 0.000 0.500 0.000
Sn 0.000 0.000 0.500
Sn 0.500 0.000 0.000
Ti 0.000 0.000 0.000
CELL_PARAMETERS angstrom
-3.283 -2.403 -3.331
1.716 -4.677 1.683
-3.732 -0.036 3.704



17.
! AcSmErLu (PBE-GGA, relaxed); values from VASP
! E_form: 0.104 eV/atom
&SYSTEM
  ibrav = 0, nat = 4, ntyp = 4
/
ATOMIC_SPECIES
Ac 227.00 Ac.upf
Lu 174.97 Lu.upf
Sm 150.36 Sm.upf
Er 167.26 Er.upf
ATOMIC_POSITIONS crystal
Ac 0.750 0.750 0.750
Lu 0.500 0.500 0.500
Sm 0.250 0.250 0.250
Er 0.000 0.000 0.000
CELL_PARAMETERS angstrom
-5.472 -1.079 1.630
-1.165 -1.401 5.518
-2.808 3.764 3.422



18.
! CaAg8Sn3 (PBE-GGA, relaxed); values from VASP
! E_form: -0.081 eV/atom
&SYSTEM
  ibrav = 0, nat = 12, ntyp = 3
/
ATOMIC_SPECIES
Ca 40.08 Ca.upf
Ag 107.87 Ag.upf
Sn 118.71 Sn.upf
ATOMIC_POSITIONS crystal
Ca 0.000 0.000 0.570
Ag 0.333 0.667 0.499
Ag 0.333 0.667 0.000
Ag 0.503 0.006 0.750
Ag 0.503 0.497 0.750
Ag 0.994 0.497 0.750
Ag 0.164 0.327 0.249
Ag 0.164 0.836 0.249
Ag 0.673 0.836 0.249
Sn 0.667 0.333 0.433
Sn 0.667 0.333 0.047
Sn 0.000 0.000 0.954
CELL_PARAMETERS angstrom
-1.563 5.431 -0.751
-2.592 -4.144 -2.935
-6.120 -0.848 6.602



19.
! Ac2Cd5Hg (PBE-GGA, relaxed); values from VASP
! E_form: -0.310 eV/atom
&SYSTEM
  ibrav = 0, nat = 16, ntyp = 3
/
ATOMIC_SPECIES
Ac 227.00 Ac.upf
Cd 112.41 Cd.upf
Hg 200.59 Hg.upf
ATOMIC_POSITIONS crystal
Ac 0.800 0.600 0.750
Ac 0.200 0.400 0.250
Ac 0.000 0.000 0.000
Ac 0.000 0.000 0.500
Cd 0.187 0.374 0.893
Cd 0.813 0.626 0.107
Cd 0.187 0.374 0.607
Cd 0.813 0.626 0.393
Cd 0.350 0.700 0.975
Cd 0.650 0.300 0.025
Cd 0.350 0.700 0.525
Cd 0.650 0.300 0.475
Cd 0.601 0.202 0.750
Cd 0.399 0.798 0.250
Hg 0.447 0.894 0.750
Hg 0.553 0.106 0.250
CELL_PARAMETERS angstrom
-2.164 -3.571 2.593
0.925 -3.526 -8.742
9.079 -3.716 2.460



20.
! TbPuS (PBE-GGA, relaxed); values from VASP
! Formation energy (no corrections): -0.761 eV per atom
&SYSTEM
  ibrav = 0, nat = 6, ntyp = 3
/
ATOMIC_SPECIES
Pu 244.00 Pu.upf
Tb 158.93 Tb.upf
S 32.06 S.upf
ATOMIC_POSITIONS crystal
Pu 0.752 0.752 0.631
Pu 0.248 0.248 0.369
Tb 0.250 0.750 0.000
Tb 0.750 0.250 0.000
S 0.747 0.747 0.266
S 0.253 0.253 0.734
CELL_PARAMETERS angstrom
-0.904 -3.047 2.765
0.364 -2.879 -3.054
7.752 -0.851 1.665



21.
! La2AgRh2 (PBE-GGA, relaxed); values from VASP
! E_form: -0.597 eV/atom
! Relative energy among the computed polymorphs: 0 meV/atom
&SYSTEM
  ibrav = 0, nat = 5, ntyp = 3
/
ATOMIC_SPECIES
La 138.91 La.upf
Ag 107.87 Ag.upf
Rh 102.91 Rh.upf
ATOMIC_POSITIONS crystal
La 0.707 0.793 0.293
La 0.293 0.207 0.707
Ag 0.500 0.500 0.000
Rh 0.000 0.230 0.270
Rh 0.000 0.770 0.730
CELL_PARAMETERS angstrom
-4.258 -1.160 -1.250
-0.272 -2.909 -4.791
-1.152 -5.461 0.575



22.
! Ta2CdSi (PBE-GGA, relaxed); values from VASP
! Formation energy (no corrections): 0.100 eV per atom
&SYSTEM
  ibrav = 0, nat = 4, ntyp = 3
/
ATOMIC_SPECIES
Cd 112.41 Cd.upf
Si 28.09 Si.upf
Ta 180.95 Ta.upf
ATOMIC_POSITIONS crystal
Cd 0.000 0.000 0.511
Si 0.500 0.500 0.768
Ta 0.000 0.000 0.984
Ta 0.500 0.500 0.237
CELL_PARAMETERS angstrom
2.935 0.007 0.000
-0.814 2.819 0.000
0.000 0.000 8.752



| no. | total energy (eV for the cell shown) | V (Å³ per cell) | total moment (μB per cell) |
| --- | --- | --- | --- |
| 1 | -23.724 | 104 | 0.000 |
| 2 | -22.095 | 56 | 5.111 |
| 3 | -58.633 | 198 | 0.000 |
| 4 | -187.989 | 438 | 0.000 |
| 5 | -59.907 | 180 | 0.000 |
| 6 | -39.865 | 364 | 0.000 |
| 7 | -62.551 | 206 | 0.000 |
| 8 | -67.897 | 164 | 0.000 |
| 9 | -29.009 | 280 | 0.000 |
| 10 | -75.159 | 188 | 0.000 |
| 11 | -42.971 | 310 | 1.631 |
| 12 | -17.481 | 76 | 0.000 |
| 13 | -10.137 | 142 | 0.000 |
| 14 | -20.643 | 94 | 0.626 |
| 15 | -24.059 | 123 | 0.000 |
| 16 | -26.541 | 145 | 4.789 |
| 17 | -17.495 | 139 | 0.000 |
| 18 | -37.789 | 255 | 0.000 |
| 19 | -31.154 | 455 | 0.000 |
| 20 | -50.744 | 142 | 12.909 |
| 21 | -30.396 | 114 | 0.000 |
| 22 | -29.644 | 72 | 0.000 |